Record 1
Entry from the Alexandria database: a relaxed structure of TiMo3Cl (PBE-GGA).

The space group is Pm-3m (No. 221) and the conventional cell measures 4.410, 4.410 and 4.410 Å, with angles of 90.00, 90.00 and 90.00 degrees. The asymmetric unit holds Ti at (0.000, 0.000, 0.000), Mo at (0.000, 0.500, 0.500) and Cl at (0.500, 0.500, 0.500).

Its crystal system is cubic. For the density of states at the Fermi level, the calculation gives 8.8 states/eV/cell. As for the energy relative to the elements, uncorrected: 0.89 eV/atom.

---

Record 2
Entry from the Alexandria database: a relaxed structure of Ga2Fe2Rh (PBE-GGA).

The space group is P4/mbm (No. 127) and the conventional cell measures 6.983, 6.983 and 2.752 Å, with angles of 90.00, 90.00 and 90.00 degrees. The asymmetric unit holds Ga at (0.182, 0.318, 0.000), Fe at (0.115, 0.615, 0.500) and Rh at (0.000, 0.000, 0.500).

The energy of formation from the pure elements is -0.032 eV/atom. Its crystal system is tetragonal. For the density of states at the Fermi level, the calculation gives 9.3 states/eV/cell.

---

Record 3
Entry from the Alexandria database: a relaxed structure of HoTh3Fe8 (PBE-GGA).

The space group is R3m (No. 160, hexagonal axes) and the conventional cell measures 5.2047, 5.2047 and 25.5494 Å, with angles of 90.00, 90.00 and 120.00 degrees. The asymmetric unit holds Ho at (0.0000, 0.0000, 0.0000), Th at (0.0000, 0.0000, 0.3738), Th at (0.0000, 0.0000, 0.4999), Th at (0.0000, 0.0000, 0.8761), Fe at (0.0000, 0.0000, 0.1876), Fe at (0.0000, 0.0000, 0.6872), Fe at (0.0013, 0.5007, 0.9383) and Fe at (0.1671, 0.3342, 0.7697).

The energy of formation from the pure elements is -0.064 eV/atom. Its crystal system is trigonal. For the density of states at the Fermi level, the calculation gives 32.9 states/eV/cell.

---

Record 4
Entry from the Alexandria database: a relaxed structure of TcWSe2N (PBE-GGA).

The space group is P4/mmm (No. 123) and the conventional cell measures 5.078, 5.078 and 3.796 Å, with angles of 90.00, 90.00 and 90.00 degrees. The asymmetric unit holds Tc at (0.000, 0.000, 0.000), W at (0.500, 0.500, 0.500), Se at (0.000, 0.500, 0.500) and N at (0.500, 0.500, 0.000).

Its crystal system is tetragonal. For the density of states at the Fermi level, the calculation gives 2.0 states/eV/cell. As for the energy relative to the elements, uncorrected: 0.73 eV/atom.

---

Record 5
Entry from the Alexandria database: a relaxed structure of MgScB (PBE-GGA).

The space group is Cm (No. 8) and the conventional cell measures 9.356, 3.112 and 7.166 Å, with angles of 90.00, 94.21 and 90.00 degrees. The asymmetric unit holds Mg at (0.000, 0.000, 0.000), Mg at (0.244, 0.500, 0.181), Sc at (0.255, 0.000, 0.772), Sc at (0.488, 0.000, 0.475), B at (0.202, 0.000, 0.446) and B at (0.261, 0.500, 0.506).

The energy of formation from the pure elements is -0.140 eV/atom. Its crystal system is monoclinic. For the density of states at the Fermi level, the calculation gives 7.8 states/eV/cell.

---

Record 6
Entry from the Alexandria database: a relaxed structure of Ta2PtBr (PBE-GGA).

The space group is P4mm (No. 99) and the conventional cell measures 3.016, 3.016 and 8.660 Å, with angles of 90.00, 90.00 and 90.00 degrees. The asymmetric unit holds Ta at (0.000, 0.000, 0.000), Ta at (0.500, 0.500, 0.250), Pt at (0.500, 0.500, 0.803) and Br at (0.000, 0.000, 0.460).

Its crystal system is tetragonal. For the density of states at the Fermi level, the calculation gives 2.9 states/eV/cell. As for the energy relative to the elements, uncorrected: -0.08 eV/atom.

---

> What is the formula in the second record?

Ga2Fe2Rh

---

Copy entry 1 word for word.
Entry from the Alexandria database: a relaxed structure of TiMo3Cl (PBE-GGA).

The space group is Pm-3m (No. 221) and the conventional cell measures 4.410, 4.410 and 4.410 Å, with angles of 90.00, 90.00 and 90.00 degrees. The asymmetric unit holds Ti at (0.000, 0.000, 0.000), Mo at (0.000, 0.500, 0.500) and Cl at (0.500, 0.500, 0.500).

Its crystal system is cubic. For the density of states at the Fermi level, the calculation gives 8.8 states/eV/cell. As for the energy relative to the elements, uncorrected: 0.89 eV/atom.